1.
Density functional theory data (PBE) for crystalline Gd4Ga12Pd at its relaxed geometry.

Lattice parameters (Å, degrees): 7.4962 7.4962 7.4962 109.47 109.47 109.47
Closest atoms and distances in Å follow each position.
Element x y z (fractional)
1 Ga 0.2968 0.2968 0.0000  1 Pd 2.57, 4 Ga 2.79
2 Ga 0.7032 0.7032 0.0000  1 Pd 2.57, 4 Ga 2.79
3 Ga 0.7500 0.5000 0.2500  8 Ga 2.79-3.06, 4 Gd 3.06
4 Ga 0.5000 0.7500 0.2500  8 Ga 2.79-3.06, 4 Gd 3.06
5 Ga 0.2968 0.0000 0.2968  1 Pd 2.57, 4 Ga 2.79
6 Ga 0.0000 0.2968 0.2968  1 Pd 2.57, 4 Ga 2.79
7 Ga 0.7500 0.2500 0.5000  8 Ga 2.79-3.06, 4 Gd 3.06
8 Ga 0.2500 0.7500 0.5000  8 Ga 2.79-3.06, 4 Gd 3.06
9 Ga 0.7032 0.0000 0.7032  1 Pd 2.57, 4 Ga 2.79
10 Ga 0.0000 0.7032 0.7032  1 Pd 2.57, 4 Ga 2.79
11 Ga 0.5000 0.2500 0.7500  8 Ga 2.79-3.06, 4 Gd 3.06
12 Ga 0.2500 0.5000 0.7500  8 Ga 2.79-3.06, 4 Gd 3.06
13 Gd 0.5000 0.0000 0.0000  12 Ga 3.06-3.09
14 Gd 0.0000 0.5000 0.0000  12 Ga 3.06-3.09
15 Gd 0.0000 0.0000 0.5000  12 Ga 3.06-3.09
16 Gd 0.5000 0.5000 0.5000  12 Ga 3.06-3.09
17 Pd 0.0000 0.0000 0.0000  6 Ga 2.57

Summary:
The value obtained for the total energy is -4.160 eV per atom. The volume is 324 Å³ per cell. The total magnetization comes out at 0.01 μB/f.u.



2.
Density functional theory data (PBE) for crystalline Gd3Ga2Pd4 at its relaxed geometry.

Lattice parameters (Å, degrees): 5.4269 5.4269 8.7105 96.14 96.14 47.43
Closest atoms and distances in Å follow each position.
Element x y z (fractional)
1 Ga 0.6793 0.6793 0.2837  5 Pd 2.61-2.65
2 Ga 0.3207 0.3207 0.7163  5 Pd 2.61-2.65
3 Gd 0.3760 0.3760 0.1153  6 Pd 2.83-3.15
4 Gd 0.0000 0.0000 0.5000  8 Pd 3.01-3.37
5 Gd 0.6240 0.6240 0.8847  6 Pd 2.83-3.15
6 Pd 0.0845 0.0845 0.1366  2 Ga 2.65, 2 Pd 2.75-2.92, 1 Gd 2.92
7 Pd 0.2842 0.2842 0.4112  3 Ga 2.61-2.64, 2 Pd 2.80, 1 Gd 2.83
8 Pd 0.7158 0.7158 0.5888  3 Ga 2.61-2.64, 2 Pd 2.80, 1 Gd 2.83
9 Pd 0.9155 0.9155 0.8634  2 Ga 2.65, 2 Pd 2.75-2.92, 1 Gd 2.92

Summary:
The value obtained for the total energy is -5.363 eV per atom. The volume is 188 Å³ per cell. The total magnetization comes out at 0.00 μB/f.u.



3.
Density functional theory data (PBE) for crystalline GdGaPd2 at its relaxed geometry.

Lattice parameters (Å, degrees): 7.4206 7.1695 5.6577 90.00 90.00 90.00
Closest atoms and distances in Å follow each position.
Element x y z (fractional)
1 Ga 0.1156 0.2500 0.1443  6 Pd 2.56-2.65
2 Ga 0.6156 0.2500 0.3557  6 Pd 2.56-2.65
3 Ga 0.3844 0.7500 0.6443  6 Pd 2.56-2.65
4 Ga 0.8844 0.7500 0.8557  6 Pd 2.56-2.65
5 Gd 0.5313 0.7500 0.1453  3 Ga 3.03-3.09, 8 Pd 3.05-3.24
6 Gd 0.0313 0.7500 0.3547  3 Ga 3.03-3.09, 8 Pd 3.05-3.24
7 Gd 0.9687 0.2500 0.6453  3 Ga 3.03-3.09, 8 Pd 3.05-3.24
8 Gd 0.4687 0.2500 0.8547  3 Ga 3.03-3.09, 8 Pd 3.05-3.24
9 Pd 0.8175 0.0516 0.0888  3 Ga 2.56-2.65, 1 Pd 2.84
10 Pd 0.8175 0.4484 0.0888  3 Ga 2.56-2.65, 1 Pd 2.84
11 Pd 0.3175 0.0516 0.4112  3 Ga 2.56-2.65, 1 Pd 2.84
12 Pd 0.3175 0.4484 0.4112  3 Ga 2.56-2.65, 1 Pd 2.84
13 Pd 0.6825 0.5516 0.5888  3 Ga 2.56-2.65, 1 Pd 2.84
14 Pd 0.6825 0.9484 0.5888  3 Ga 2.56-2.65, 1 Pd 2.84
15 Pd 0.1825 0.5516 0.9112  3 Ga 2.56-2.65, 1 Pd 2.84
16 Pd 0.1825 0.9484 0.9112  3 Ga 2.56-2.65, 1 Pd 2.84

Summary:
The value obtained for the total energy is -5.402 eV per atom. The volume is 301 Å³ per cell. The total magnetization comes out at 0.01 μB/f.u.



4.
Density functional theory data (PBE) for crystalline GdGa2Pd2 at its relaxed geometry.

Lattice parameters (Å, degrees): 6.1034 6.1034 6.1034 139.82 139.82 58.13
Closest atoms and distances in Å follow each position.
Element x y z (fractional)
1 Ga 0.3822 0.3822 0.0000  1 Ga 2.51, 4 Pd 2.53
2 Ga 0.6178 0.6178 0.0000  1 Ga 2.51, 4 Pd 2.53
3 Gd 0.0000 0.0000 0.0000  8 Ga 3.22, 8 Pd 3.39
4 Pd 0.7500 0.2500 0.5000  4 Ga 2.53
5 Pd 0.2500 0.7500 0.5000  4 Ga 2.53

Summary:
The value obtained for the total energy is -4.992 eV per atom. The volume is 94 Å³ per cell. The total magnetization comes out at 0.01 μB/f.u.



- Which value of volume does entry 2 give?
  188 Å³ per cell